Entry from Alexandria via LeMat-Bulk: a geometry-optimized ZnInAs structure (PBE-GGA).

The structure in POSCAR format:
```
ZnInAs
1.0
-1.150 -0.506 4.413
2.301 -2.960 2.646
2.792 1.556 3.292
As Zn In
1 1 1
Cartesian
0.000 0.000 0.000
2.957 -1.432 7.762
1.971 -0.955 5.175
```

Output
The total energy comes out at -8.4 eV/cell. The magnetic moment comes out at 0.00 μB/cell.